# Pm14ThAl (GGA-PBE, relaxed)
# size of the total moment: 0.00 μB per cell
# SG: Amm2
# ΔE_f: 0.40 eV per formula unit
# crystal system: orthorhombic
data_Pm14ThAl
_space_group_name_H-M_alt 'P 1'
_space_group_IT_number 1
_space_group_name_Hall 'P 1'
_cell_length_a 11.098
_cell_length_b 7.019
_cell_length_c 7.019
_cell_angle_alpha 75.91
_cell_angle_beta 90.00
_cell_angle_gamma 90.00
loop_
_atom_site_label
_atom_site_fract_x
_atom_site_fract_y
_atom_site_fract_z
Pm1 0.000 0.000 0.000
Pm2 0.000 0.424 0.424
Pm3 0.000 0.505 0.922
Pm4 0.000 0.922 0.505
Pm5 0.246 0.791 0.791
Pm6 0.268 0.220 0.220
Pm7 0.270 0.296 0.706
Pm8 0.270 0.706 0.296
Pm9 0.500 0.506 0.932
Pm10 0.500 0.932 0.506
Pm11 0.730 0.296 0.706
Pm12 0.730 0.706 0.296
Pm13 0.732 0.220 0.220
Pm14 0.754 0.791 0.791
Th1 0.500 0.987 0.987
Al1 0.500 0.435 0.435